(1)
# AlAgPb2

A relaxed AlAgPb2 crystal (GGA-PBE, the Alexandria database).

Unit cell a=3.3977 b=4.2447 c=6.8658 alpha=90.00 beta=90.00 gamma=90.00
Closest atoms and distances in Å follow each position.
Fractional coordinates of all 4 atoms:
Ag 0.5000 0.5000 0.2500  8 Pb 3.21, 2 Ag 3.40, 2 Al 3.43
Pb 0.0000 0.0000 0.4993  4 Ag 3.21, 4 Al 3.22, 4 Pb 3.40-3.44
Pb 0.0000 0.0000 0.0007  4 Ag 3.21, 4 Al 3.22, 4 Pb 3.40-3.44
Al 0.5000 0.5000 0.7500  8 Pb 3.22, 2 Al 3.40, 2 Ag 3.43

Output
The formation energy comes out at 198 meV per atom. The value obtained for the density is 9.2 g/cm3. Its density of states at the Fermi level is 1.50 states/eV per cell.

(2)
# AlAgPb2

A relaxed AlAgPb2 crystal (GGA-PBE, the Alexandria database).

Unit cell a=9.1711 b=9.1711 c=9.1711 alpha=22.81 beta=22.81 gamma=22.81
Closest atoms and distances in Å follow each position.
Fractional coordinates of all 4 atoms:
Ag 0.2500 0.2500 0.2500  6 Pb 3.07
Al 0.7500 0.7500 0.7500  6 Pb 3.05
Pb 0.4994 0.4994 0.4994  3 Al 3.05, 3 Ag 3.07
Pb 0.0006 0.0006 0.0006  3 Al 3.05, 3 Ag 3.07

Output
The formation energy comes out at 207 meV per atom. The value obtained for the density is 9.0 g/cm3. Its density of states at the Fermi level is 0.64 states/eV per cell.

| no. | magnetization (μB per formula unit) |
| --- | --- |
| 1 | 0.0 |
| 2 | 0.0 |